This record from Alexandria describes a geometry-optimized Sr3LiCd structure. The functional is PBE.

CIF file:
```
data_Sr3LiCd
_chemical_formula_sum 'Sr12 Li4 Cd4'
_symmetry_space_group_name_H-M 'C m c m'
_symmetry_Int_Tables_number 63
_symmetry_space_group_name_Hall '-C 2c 2'
_cell_length_a 5.8379
_cell_length_b 22.6865
_cell_length_c 5.8448
_cell_angle_alpha 90.00
_cell_angle_beta 90.00
_cell_angle_gamma 90.00
loop_
_atom_site_label
_atom_site_fract_x
_atom_site_fract_y
_atom_site_fract_z
Sr1 0.0000 0.0701 0.2500
Sr2 0.0000 0.2502 0.2500
Sr3 0.0000 0.4296 0.2500
Li1 0.0000 0.1590 0.7500
Cd1 0.0000 0.3408 0.7500
```

Values from the calculation:
* energy above the lowest structure with this stoichiometry: 0.0 meV/atom
* Fermi-level density of states: 1.034 states/eV/atom